1) The following is a DFT calculation (PBE-GGA) of a relaxed La2YW crystal.

Computed properties:
* size of the total moment: 0.0 μB/f.u.

Lattice parameters (Å, degrees): 5.351 5.351 5.351 60.00 60.00 60.00
Positions (direct):
La  0.250  0.250  0.250
La  0.750  0.750  0.750
Y  0.000  0.000  0.000
W  0.500  0.500  0.500

=====

2) The following is a DFT calculation (PBE-GGA) of a relaxed La2YW crystal.

Computed properties:
* size of the total moment: 0.0 μB/f.u.

Lattice parameters (Å, degrees): 6.526 6.526 6.526 147.35 129.45 61.48
Positions (direct):
La  0.201  0.201  0.000
La  0.799  0.799  0.000
Y  0.500  0.000  0.500
W  0.000  0.500  0.500

=====

3) The following is a DFT calculation (PBE-GGA) of a relaxed La2YW crystal.

Computed properties:
* size of the total moment: 0.0 μB/f.u.

Lattice parameters (Å, degrees): 3.635 3.635 8.718 90.00 90.00 90.00
Positions (direct):
La  0.000  0.000  0.204
La  0.000  0.000  0.796
Y  0.500  0.500  0.500
W  0.500  0.500  0.000

=====

4) The following is a DFT calculation (PBE-GGA) of a relaxed La2YW crystal.

Computed properties:
* size of the total moment: 0.0 μB/f.u.

Lattice parameters (Å, degrees): 3.343 3.343 11.142 90.00 90.00 112.96
Positions (direct):
La  0.000  0.000  0.201
La  0.000  0.000  0.799
Y  0.500  0.500  0.500
W  0.500  0.500  0.000

=====

Calculated relative energies: 1) 0.120; 2) 0.000; 3) 0.038; 4) 0.095, given in eV/atom

=====

1) The following is a DFT calculation (PBE-GGA) of a relaxed La2YW crystal.

Computed properties:
* size of the total moment: 0.0 μB/f.u.

Lattice parameters (Å, degrees): 10.557 10.557 10.557 19.60 19.60 19.60
Positions (direct):
La  0.236  0.236  0.236
La  0.764  0.764  0.764
Y  0.000  0.000  0.000
W  0.500  0.500  0.500

=====

2) The following is a DFT calculation (PBE-GGA) of a relaxed La2YW crystal.

Computed properties:
* size of the total moment: 0.0 μB/f.u.

Lattice parameters (Å, degrees): 6.099 6.099 3.218 90.00 90.00 115.62
Positions (direct):
La  0.000  0.500  0.000
La  0.500  0.000  0.000
Y  0.000  0.000  0.500
W  0.500  0.500  0.500

=====

3) The following is a DFT calculation (PBE-GGA) of a relaxed La2YW crystal.

Computed properties:
* size of the total moment: 0.0 μB/f.u.

Lattice parameters (Å, degrees): 5.607 5.607 5.607 127.50 127.50 77.44
Positions (direct):
La  0.000  0.000  0.000
La  0.750  0.250  0.500
Y  0.500  0.500  0.000
W  0.250  0.750  0.500

=====

Calculated relative energies: 1) 0.031; 2) 0.086; 3) 0.000, given in eV/atom